DFT (PBE with a Hubbard U) results for PuCoSbO6 after structural relaxation.

E_tot = -7.619 eV per atom
Total moment = 0.667 μB per atom

abc: 5.4388 5.4388 8.9654
angles: 90.00 90.00 120.00
Space group P-31c (No. 163)
Asymmetric unit:
Pu  0.3333  0.6667  0.2500 (multiplicity 2)
Co  0.0000  0.0000  0.0000 (multiplicity 2)
Sb  0.3333  0.6667  0.7500 (multiplicity 2)
O  0.0176  0.3500  0.6292 (multiplicity 12)